No. 1
Ca2Ta2CrO8 | GGA+U | relaxed

Its electronic total energy is -8.51 eV per atom. The value obtained for the density of states at the Fermi level is 0.00 states/eV/atom. The value obtained for the total magnetization is 8.00 Bohr magnetons per cell.

Lattice parameters (Å, degrees): 5.4261 6.6035 9.9614 104.76 91.51 92.11
Positions (direct):
Ca1 0.2451 0.3784 0.4199
Ca2 0.2533 0.9490 0.5809
Ca3 0.7467 0.0510 0.4191
Ca4 0.7549 0.6216 0.5801
Ta1 0.2471 0.7827 0.2317
Ta2 0.2627 0.5004 0.7668
Ta3 0.7373 0.4996 0.2332
Ta4 0.7529 0.2173 0.7683
Cr1 0.2390 0.1566 0.0069
Cr2 0.7610 0.8434 0.9931
O1 0.0186 0.2325 0.6300
O2 0.0628 0.4999 0.1474
O3 0.0944 0.9303 0.1117
O4 0.1655 0.6374 0.6249
O5 0.3400 0.0399 0.3708
O6 0.4158 0.2670 0.8506
O7 0.4551 0.7274 0.8699
O8 0.4772 0.6372 0.3687
O9 0.5228 0.3628 0.6313
O10 0.5449 0.2726 0.1301
O11 0.5842 0.7330 0.1494
O12 0.6600 0.9601 0.6292
O13 0.8345 0.3626 0.3751
O14 0.9056 0.0697 0.8883
O15 0.9372 0.5001 0.8526
O16 0.9814 0.7675 0.3700

***

No. 2
Ca2TaCrO6 | GGA+U | relaxed

Its electronic total energy is -8.11 eV per atom. The value obtained for the density of states at the Fermi level is 0.00 states/eV/atom. The value obtained for the total magnetization is 6.00 Bohr magnetons per cell.

Lattice parameters (Å, degrees): 5.4576 7.8236 5.6024 90.00 90.20 90.00
Positions (direct):
Ca1 0.0071 0.2500 0.0378
Ca2 0.4890 0.2500 0.5618
Ca3 0.5110 0.7500 0.4382
Ca4 0.9929 0.7500 0.9622
Ta1 0.0000 0.0000 0.5000
Ta2 0.0000 0.5000 0.5000
Cr1 0.5000 0.0000 0.0000
Cr2 0.5000 0.5000 0.0000
O1 0.0882 0.7500 0.5260
O2 0.2010 0.0462 0.7889
O3 0.2010 0.4538 0.7889
O4 0.2910 0.0446 0.2981
O5 0.2910 0.4554 0.2981
O6 0.4070 0.7500 0.0316
O7 0.5930 0.2500 0.9684
O8 0.7090 0.5446 0.7019
O9 0.7090 0.9554 0.7019
O10 0.7990 0.5462 0.2111
O11 0.7990 0.9538 0.2111
O12 0.9118 0.2500 0.4740

***

No. 3
Ca2TaCrO6 | GGA+U | relaxed

Its electronic total energy is -8.13 eV per atom. The value obtained for the density of states at the Fermi level is 0.00 states/eV/atom. The value obtained for the total magnetization is 6.00 Bohr magnetons per cell.

Lattice parameters (Å, degrees): 5.4644 5.5880 9.5022 90.00 124.91 90.00
Positions (direct):
Ca1 0.2375 0.0463 0.2484
Ca2 0.2375 0.4537 0.7484
Ca3 0.7625 0.5463 0.2516
Ca4 0.7625 0.9537 0.7516
Ta1 0.5000 0.0000 0.0000
Ta2 0.5000 0.5000 0.5000
Cr1 0.0000 0.0000 0.5000
Cr2 0.0000 0.5000 0.0000
O1 0.1630 0.2053 0.9561
O2 0.1630 0.2947 0.4561
O3 0.2491 0.7094 0.9529
O4 0.2491 0.7906 0.4529
O5 0.3385 0.0257 0.7514
O6 0.3385 0.4743 0.2514
O7 0.6615 0.5257 0.7486
O8 0.6615 0.9743 0.2486
O9 0.7509 0.2094 0.5471
O10 0.7509 0.2906 0.0471
O11 0.8370 0.7053 0.5439
O12 0.8370 0.7947 0.0439

***

No. 4
CaCrTc2O8 | GGA+U | relaxed

Its electronic total energy is -7.48 eV per atom. The value obtained for the density of states at the Fermi level is 0.58 states/eV/atom. The value obtained for the total magnetization is 6.01 Bohr magnetons per cell.

Lattice parameters (Å, degrees): 5.7641 5.7641 6.4409 90.00 90.00 120.00
Positions (direct):
Ca1 0.0000 0.0000 0.0000
Cr1 0.0000 0.0000 0.5000
Tc1 0.3333 0.6667 0.7741
Tc2 0.6667 0.3333 0.2259
O1 0.1555 0.3109 0.7090
O2 0.1555 0.8445 0.7090
O3 0.3109 0.1555 0.2910
O4 0.3333 0.6667 0.0462
O5 0.6667 0.3333 0.9538
O6 0.6891 0.8445 0.7090
O7 0.8445 0.1555 0.2910
O8 0.8445 0.6891 0.2910

***

No. 5
Ca2CrTcO6 | GGA+U | relaxed

Its electronic total energy is -7.39 eV per atom. The value obtained for the density of states at the Fermi level is 0.52 states/eV/atom. The value obtained for the total magnetization is 10.01 Bohr magnetons per cell.

Lattice parameters (Å, degrees): 5.4066 5.5807 9.4289 90.00 124.97 90.00
Positions (direct):
Ca1 0.2378 0.0527 0.2506
Ca2 0.2378 0.4473 0.7506
Ca3 0.7622 0.5527 0.2494
Ca4 0.7622 0.9473 0.7494
Cr1 0.5000 0.0000 0.0000
Cr2 0.5000 0.5000 0.5000
Tc1 0.0000 0.0000 0.5000
Tc2 0.0000 0.5000 0.0000
O1 0.1492 0.2058 0.9516
O2 0.1492 0.2942 0.4516
O3 0.2479 0.7011 0.9532
O4 0.2479 0.7989 0.4532
O5 0.3381 0.0291 0.7470
O6 0.3381 0.4709 0.2470
O7 0.6619 0.5291 0.7530
O8 0.6619 0.9709 0.2530
O9 0.7521 0.2011 0.5468
O10 0.7521 0.2989 0.0468
O11 0.8508 0.7058 0.5484
O12 0.8508 0.7942 0.0484

***

No. 6
Ca2TiCrO6 | GGA+U | relaxed

Its electronic total energy is -7.59 eV per atom. The value obtained for the total magnetization is 3.99 Bohr magnetons per cell.

Lattice parameters (Å, degrees): 5.3935 5.4612 9.3104 90.00 125.24 90.00
Positions (direct):
Ca1 0.2404 0.0405 0.2500
Ca2 0.2404 0.4595 0.7500
Ca3 0.7596 0.5405 0.2500
Ca4 0.7596 0.9595 0.7500
Ti1 0.0000 0.0000 0.5000
Ti2 0.0000 0.5000 0.0000
Cr1 0.5000 0.0000 0.0000
Cr2 0.5000 0.5000 0.5000
O1 0.1684 0.2144 0.9587
O2 0.1684 0.2856 0.4587
O3 0.2549 0.7158 0.9613
O4 0.2549 0.7842 0.4613
O5 0.3279 0.0175 0.7531
O6 0.3279 0.4825 0.2531
O7 0.6721 0.5175 0.7469
O8 0.6721 0.9825 0.2469
O9 0.7451 0.2158 0.5387
O10 0.7451 0.2842 0.0387
O11 0.8316 0.7144 0.5413
O12 0.8316 0.7856 0.0413

***

No. 7
Ca3Ti3Cr2O12 | GGA+U | relaxed

Its electronic total energy is -8.07 eV per atom. The value obtained for the density of states at the Fermi level is 0.00 states/eV/atom. The value obtained for the total magnetization is 24.00 Bohr magnetons per cell.

Lattice parameters (Å, degrees): 10.9143 10.9143 10.9143 109.47 109.47 109.47
Positions (direct):
Ca1 0.1250 0.2500 0.3750
Ca2 0.1250 0.3750 0.7500
Ca3 0.2500 0.3750 0.1250
Ca4 0.2500 0.8750 0.6250
Ca5 0.3750 0.1250 0.2500
Ca6 0.3750 0.7500 0.1250
Ca7 0.6250 0.2500 0.8750
Ca8 0.6250 0.8750 0.7500
Ca9 0.7500 0.1250 0.3750
Ca10 0.7500 0.6250 0.8750
Ca11 0.8750 0.6250 0.2500
Ca12 0.8750 0.7500 0.6250
Ti1 0.1250 0.7500 0.8750
Ti2 0.1250 0.8750 0.2500
Ti3 0.2500 0.1250 0.8750
Ti4 0.2500 0.6250 0.3750
Ti5 0.3750 0.2500 0.6250
Ti6 0.3750 0.6250 0.7500
Ti7 0.6250 0.3750 0.2500
Ti8 0.6250 0.7500 0.3750
Ti9 0.7500 0.3750 0.6250
Ti10 0.7500 0.8750 0.1250
Ti11 0.8750 0.1250 0.7500
Ti12 0.8750 0.2500 0.1250
Cr1 0.0000 0.0000 0.0000
Cr2 0.0000 0.0000 0.5000
Cr3 0.0000 0.5000 0.0000
Cr4 0.0000 0.5000 0.5000
Cr5 0.5000 0.0000 0.0000
Cr6 0.5000 0.0000 0.5000
Cr7 0.5000 0.5000 0.0000
Cr8 0.5000 0.5000 0.5000
O1 0.0181 0.1998 0.1178
O2 0.0181 0.3182 0.9002
O3 0.0820 0.6998 0.6818
O4 0.0820 0.8822 0.4002
O5 0.0998 0.6178 0.4180
O6 0.0998 0.9819 0.6818
O7 0.1178 0.0181 0.1998
O8 0.1178 0.5998 0.9180
O9 0.1818 0.1998 0.5820
O10 0.1818 0.4819 0.5998
O11 0.1998 0.1178 0.0181
O12 0.1998 0.5820 0.1818
O13 0.3002 0.3182 0.9180
O14 0.3002 0.4819 0.3822
O15 0.3182 0.9002 0.0181
O16 0.3182 0.9180 0.3002
O17 0.3822 0.3002 0.4819
O18 0.3822 0.5820 0.9002
O19 0.4002 0.0820 0.8822
O20 0.4002 0.8182 0.5181
O21 0.4180 0.0998 0.6178
O22 0.4180 0.8182 0.8002
O23 0.4819 0.3822 0.3002
O24 0.4819 0.5998 0.1818
O25 0.5181 0.4002 0.8182
O26 0.5181 0.6178 0.6998
O27 0.5820 0.1818 0.1998
O28 0.5820 0.9002 0.3822
O29 0.5998 0.1818 0.4819
O30 0.5998 0.9180 0.1178
O31 0.6178 0.4180 0.0998
O32 0.6178 0.6998 0.5181
O33 0.6818 0.0820 0.6998
O34 0.6818 0.0998 0.9819
O35 0.6998 0.5181 0.6178
O36 0.6998 0.6818 0.0820
O37 0.8002 0.4180 0.8182
O38 0.8002 0.8822 0.9819
O39 0.8182 0.5181 0.4002
O40 0.8182 0.8002 0.4180
O41 0.8822 0.4002 0.0820
O42 0.8822 0.9819 0.8002
O43 0.9002 0.0181 0.3182
O44 0.9002 0.3822 0.5820
O45 0.9180 0.1178 0.5998
O46 0.9180 0.3002 0.3182
O47 0.9819 0.6818 0.0998
O48 0.9819 0.8002 0.8822

***

No. 8
CaTlCrO4 | GGA+U | relaxed

Its electronic total energy is -6.26 eV per atom. The value obtained for the total magnetization is 2.00 Bohr magnetons per cell.

Lattice parameters (Å, degrees): 6.0186 5.8806 7.5699 90.00 103.01 90.00
Positions (direct):
Ca1 0.1980 0.2500 0.0680
Ca2 0.8020 0.7500 0.9320
Tl1 0.2668 0.2500 0.6043
Tl2 0.7332 0.7500 0.3957
Cr1 0.2823 0.7500 0.8586
Cr2 0.7177 0.2500 0.1414
O1 0.0901 0.5202 0.8355
O2 0.0901 0.9798 0.8355
O3 0.4439 0.7500 0.7008
O4 0.4491 0.7500 0.0712
O5 0.5509 0.2500 0.9288
O6 0.5561 0.2500 0.2992
O7 0.9099 0.0202 0.1645
O8 0.9099 0.4798 0.1645

***

Q: Look up the electronic total energy of the sixth one.
A: -7.59 eV per atom

***

Q: Which value of total magnetization does entry 1 give?
A: 8.00 Bohr magnetons per cell